[1]
# Na2CCl | Alexandria | PBE | relaxed
# uncorrected formation energy	418	meV/atom
# energy above the most stable polymorph in this dataset	33	meV/atom
data_Na2CCl
_cell_length_a 6.805
_cell_length_b 6.805
_cell_length_c 6.805
_cell_angle_alpha 90.00
_cell_angle_beta 90.00
_cell_angle_gamma 90.00
_space_group_name_H-M_alt 'F m -3 m'
_space_group_IT_number 225
_space_group_name_Hall '-F 4 2 3'
loop_
_atom_site_label
_atom_site_fract_x
_atom_site_fract_y
_atom_site_fract_z
Na1 0.250 0.250 0.250
C1 0.000 0.000 0.000
Cl1 0.000 0.000 0.500

***

[2]
# NaCClO2 | Alexandria | PBE | relaxed
# uncorrected formation energy	-1468	meV/atom
data_NaCClO2
_cell_length_a 5.496
_cell_length_b 5.584
_cell_length_c 7.002
_cell_angle_alpha 90.00
_cell_angle_beta 112.62
_cell_angle_gamma 90.00
_space_group_name_H-M_alt 'P 1 21/m 1'
_space_group_IT_number 11
loop_
_space_group_symop_operation_xyz
'x,y,z'
'-x,-y,-z'
'-x,y+1/2,-z'
'x,-y+1/2,z'
loop_
_atom_site_label
_atom_site_fract_x
_atom_site_fract_y
_atom_site_fract_z
Na1 0.250 0.250 0.001
C1 0.249 0.250 0.501
Cl1 0.250 0.750 0.000
O1 0.118 0.250 0.600
O2 0.379 0.250 0.401

***

[3]
# Na2CClO3 | Alexandria | PBE | relaxed
# uncorrected formation energy	-1292	meV/atom
data_Na2CClO3
_cell_length_a 6.2013
_cell_length_b 6.2013
_cell_length_c 20.3205
_cell_angle_alpha 90.00
_cell_angle_beta 90.00
_cell_angle_gamma 120.00
_space_group_name_H-M_alt 'R -3 m'
_space_group_IT_number 166
_space_group_name_Hall '-R 3 2"'
loop_
_atom_site_label
_atom_site_fract_x
_atom_site_fract_y
_atom_site_fract_z
Na1 0.0000 0.0000 0.0000
Na2 0.0000 0.5000 0.5000
C1 0.0000 0.0000 0.4283
Cl1 0.0000 0.0000 0.2613
O1 0.0930 0.5465 0.2374

***

[4]
# NaC2ClO | Alexandria | PBE | relaxed
# uncorrected formation energy	1655	meV/atom
data_NaC2ClO
_cell_length_a 3.612
_cell_length_b 3.612
_cell_length_c 7.838
_cell_angle_alpha 90.00
_cell_angle_beta 90.00
_cell_angle_gamma 90.00
_space_group_name_H-M_alt 'P 4/m m m'
_space_group_IT_number 123
_space_group_name_Hall '-P 4 2'
loop_
_atom_site_label
_atom_site_fract_x
_atom_site_fract_y
_atom_site_fract_z
Na1 0.000 0.000 0.000
C1 0.000 0.500 0.500
Cl1 0.500 0.500 0.000
O1 0.500 0.500 0.500